Compound: PmEuHoTl
Source: Alexandria
Functional: PBE
Structure: relaxed

Unit cell a=5.594 b=5.594 c=5.594 alpha=60.00 beta=60.00 gamma=60.00
Fractional coordinates of all 4 atoms:
Pm1 0.000 0.000 0.000
Eu1 0.250 0.250 0.250
Ho1 0.750 0.750 0.750
Tl1 0.500 0.500 0.500

- space group = F-43m (216)
- energy relative to the elements (eV/atom) = 0.01
- total moment (μB/f.u.) = 8.05